Entry 1:
A plane-wave DFT calculation with PBE-GGA was carried out for a relaxed structure of Sr2MgHg6Bi.

a = 9.5004 Å, b = 5.3577 Å, c = 9.2036 Å
α = 64.16°, β = 49.87°, γ = 91.94°
Positions (direct):
1 Sr 0.0750 0.7530 0.6772
2 Sr 0.9250 0.2470 0.3228
3 Bi 0.0000 0.0000 0.0000
4 Hg 0.6002 0.5108 0.6057
5 Hg 0.7741 0.1319 0.7969
6 Hg 0.2259 0.8681 0.2031
7 Hg 0.6064 0.1212 0.2387
8 Hg 0.3936 0.8788 0.7613
9 Hg 0.3998 0.4892 0.3943
10 Mg 0.5000 0.5000 0.0000

Properties
The calculation puts the formation energy at -330 meV/atom.



Entry 2:
A plane-wave DFT calculation with PBE-GGA was carried out for a relaxed structure of Mg3InAg3.

a = 4.9514 Å, b = 8.0142 Å, c = 8.0142 Å
α = 120.00°, β = 90.00°, γ = 90.00°
Positions (direct):
1 Ag 0.2500 0.8099 0.7637
2 Ag 0.7500 0.7637 0.9538
3 Ag 0.2500 0.9538 0.1901
4 Ag 0.2500 0.2363 0.0462
5 Ag 0.7500 0.0462 0.8099
6 Ag 0.7500 0.1901 0.2363
7 In 0.7500 0.3333 0.6667
8 In 0.2500 0.6667 0.3333
9 Mg 0.7500 0.9071 0.3581
10 Mg 0.2500 0.3581 0.4511
11 Mg 0.2500 0.0929 0.6419
12 Mg 0.7500 0.6419 0.5489
13 Mg 0.2500 0.5489 0.9071
14 Mg 0.7500 0.4511 0.0929

Properties
The calculation puts the formation energy at -137 meV/atom.



Entry 3:
A plane-wave DFT calculation with PBE-GGA was carried out for a relaxed structure of NaCd2ReW.

a = 4.5040 Å, b = 5.0108 Å, c = 4.5040 Å
α = 90.00°, β = 90.00°, γ = 90.00°
Last column: magnetic moment on the atom in μB.
Positions (direct):
1 W 0.0000 0.5000 0.0000  -0.61
2 Cd 0.5000 0.0000 0.0000  0.01
3 Cd 0.0000 0.0000 0.5000  -0.01
4 Na 0.0000 0.0000 0.0000  -0.01
5 Re 0.5000 0.5000 0.5000  1.45

Properties
The calculation puts the formation energy at 2362 meV/atom.



Entry 4:
A plane-wave DFT calculation with PBE-GGA was carried out for a relaxed structure of LaEr3Tm6Sc2.

a = 6.0129 Å, b = 6.0129 Å, c = 11.5566 Å
α = 94.96°, β = 94.96°, γ = 119.98°
Positions (direct):
1 Sc 0.6666 0.3334 0.0000
2 Sc 0.3334 0.6666 0.0000
3 Tm 0.0838 0.4201 0.2490
4 Tm 0.9162 0.5799 0.7510
5 Tm 0.2528 0.2528 0.7508
6 Tm 0.4201 0.0838 0.2490
7 Tm 0.5799 0.9162 0.7510
8 Tm 0.7472 0.7472 0.2492
9 Er 0.5000 0.5000 0.5000
10 Er 0.8326 0.1674 0.5000
11 Er 0.1674 0.8326 0.5000
12 La 0.0000 0.0000 0.0000

Properties
The calculation puts the formation energy at 43 meV/atom.



Entry 5:
A plane-wave DFT calculation with PBE-GGA was carried out for a relaxed structure of BaTb5.

a = 3.7658 Å, b = 6.0285 Å, c = 9.8437 Å
α = 107.83°, β = 90.00°, γ = 90.00°
Positions (direct):
1 Ba 0.0000 0.0000 0.0000
2 Tb 0.0000 0.3465 0.6931
3 Tb 0.0000 0.6535 0.3069
4 Tb 0.5000 0.8104 0.6207
5 Tb 0.5000 0.5000 0.0000
6 Tb 0.5000 0.1896 0.3793

Properties
The calculation puts the formation energy at 208 meV/atom.



Entry 6:
A plane-wave DFT calculation with PBE-GGA was carried out for a relaxed structure of Be4TlCr.

a = 4.5923 Å, b = 4.5923 Å, c = 4.5923 Å
α = 60.00°, β = 60.00°, γ = 60.00°
Last column: magnetic moment on the atom in μB.
Positions (direct):
1 Tl 0.0000 0.0000 0.0000  0.02
2 Be 0.6205 0.1384 0.6205  -0.03
3 Be 0.1384 0.6205 0.6205  -0.03
4 Be 0.6205 0.6205 0.1384  -0.03
5 Be 0.6205 0.6205 0.6205  -0.03
6 Cr 0.2500 0.2500 0.2500  2.62

Properties
The calculation puts the formation energy at 354 meV/atom.



Q: Number 6 is which compound?
A: Be4TlCr